Compound: LiCo2Re
Source: Alexandria
Functional: GGA-PBE
Structure: optimized geometry

Properties
Formation enthalpy at 0 K, eV per atom: 0.22
Energy above the lowest structure with this stoichiometry, kJ per mole of atoms: 7.4
Total DFT energy (no corrections), eV per atom: -6.919
Calculated volume, Å³/atom: 12.39

a = 2.574 Å, b = 4.235 Å, c = 9.098 Å
α = 90.00°, β = 90.00°, γ = 90.00°
Space group Imm2 (No. 44)
One atom of each set of equivalent atoms:
Li 0.000 0.000 0.000
Co 0.000 0.000 0.515
Co 0.000 0.500 0.233
Re 0.000 0.500 0.788